(1)
# YReF3 | Alexandria | PBE | relaxed
data_YReF3
_symmetry_space_group_name_H-M 'P 1'
_symmetry_Int_Tables_number 1
_cell_length_a 4.521
_cell_length_b 4.521
_cell_length_c 4.521
_cell_angle_alpha 90.00
_cell_angle_beta 90.00
_cell_angle_gamma 90.00
loop_
_symmetry_equiv_pos_as_xyz
'x,y,z'
loop_
_atom_site_label
_atom_site_fract_x
_atom_site_fract_y
_atom_site_fract_z
Y1 0.000 0.000 0.000
Re1 0.500 0.500 0.500
F1 0.000 0.000 0.500
F2 0.000 0.500 0.000
F3 0.500 0.000 0.000
# - Density: 5.97 g cm⁻³
# - Excess energy over the best structure of this formula in the dataset: 0 meV/atom
# - Formation energy without anion corrections: -1.613 eV per atom
# - Space group: Pm-3m (221)
# - VASP energy: -6.5183 eV per atom

(2)
# SmEr2AgN | Alexandria | PBE | relaxed
data_SmEr2AgN
_symmetry_space_group_name_H-M 'P 1'
_symmetry_Int_Tables_number 1
_cell_length_a 4.714
_cell_length_b 4.714
_cell_length_c 4.990
_cell_angle_alpha 90.00
_cell_angle_beta 90.00
_cell_angle_gamma 90.00
loop_
_symmetry_equiv_pos_as_xyz
'x,y,z'
loop_
_atom_site_label
_atom_site_fract_x
_atom_site_fract_y
_atom_site_fract_z
Sm1 0.000 0.000 0.000
Er1 0.000 0.500 0.500
Er2 0.500 0.000 0.500
Ag1 0.500 0.500 0.000
N1 0.000 0.000 0.500
# - Density: 9.08 g cm⁻³
# - Formation energy without anion corrections: -0.730 eV per atom
# - Space group: P4/mmm (123)
# - VASP energy: -5.7341 eV per atom

(3)
# Si2HgTe2 | Alexandria | PBE | relaxed
data_Si2HgTe2
_symmetry_space_group_name_H-M 'P 1'
_symmetry_Int_Tables_number 1
_cell_length_a 6.988
_cell_length_b 6.988
_cell_length_c 6.988
_cell_angle_alpha 136.99
_cell_angle_beta 136.99
_cell_angle_gamma 62.45
loop_
_symmetry_equiv_pos_as_xyz
'x,y,z'
loop_
_atom_site_label
_atom_site_fract_x
_atom_site_fract_y
_atom_site_fract_z
Si1 0.250 0.750 0.500
Si2 0.750 0.250 0.500
Hg1 0.000 0.000 0.000
Te1 0.335 0.335 0.000
Te2 0.665 0.665 0.000
# - Density: 5.42 g cm⁻³
# - Excess energy over the best structure of this formula in the dataset: 104 meV/atom
# - Formation energy without anion corrections: 0.358 eV per atom
# - Space group: I4/mmm (139)
# - VASP energy: -3.1282 eV per atom

Question: Which value of formation energy without anion corrections does entry 2 give?
Answer: -0.730 eV per atom